No. 1
# Pm8DyEr2

Pm8DyEr2 after structural relaxation (PBE-GGA, Alexandria).

Lattice parameters (Å, degrees): 9.4343 9.4343 9.4343 145.09 128.21 63.99
Atoms (fractional coordinates):
Pm 0.1590 0.3635 0.7955
Pm 0.1634 0.1634 0.0000
Pm 0.2936 0.0000 0.2936
Pm 0.4319 0.6365 0.7955
Pm 0.5681 0.3635 0.2045
Pm 0.7064 0.0000 0.7064
Pm 0.8366 0.8366 0.0000
Pm 0.8410 0.6365 0.2045
Dy 0.0000 0.5000 0.5000
Er 0.2992 0.7992 0.5000
Er 0.7008 0.2008 0.5000

Results
**Excess energy over the best structure of this formula in the dataset**: 0 meV/atom
**Total magnetization**: 0.00 μB per cell
**VASP energy**: -50.50 eV per formula unit

=====

No. 2
# Pm6DyEr12

Pm6DyEr12 after structural relaxation (PBE-GGA, Alexandria).

Lattice parameters (Å, degrees): 8.6159 8.6159 8.6159 79.64 79.64 79.64
Atoms (fractional coordinates):
Pm 0.2679 0.2679 0.6632
Pm 0.2679 0.6632 0.2679
Pm 0.3368 0.7321 0.7321
Pm 0.6632 0.2679 0.2679
Pm 0.7321 0.3368 0.7321
Pm 0.7321 0.7321 0.3368
Dy 0.5000 0.5000 0.5000
Er 0.0141 0.0141 0.6956
Er 0.0141 0.6956 0.0141
Er 0.0147 0.3631 0.3631
Er 0.3044 0.9859 0.9859
Er 0.3631 0.0147 0.3631
Er 0.3631 0.3631 0.0147
Er 0.6369 0.6369 0.9853
Er 0.6369 0.9853 0.6369
Er 0.6956 0.0141 0.0141
Er 0.9853 0.6369 0.6369
Er 0.9859 0.3044 0.9859
Er 0.9859 0.9859 0.3044

Results
**Excess energy over the best structure of this formula in the dataset**: 0 meV/atom
**Total magnetization**: 0.00 μB per cell
**VASP energy**: -85.52 eV per formula unit

=====

No. 3
# Pm3Dy4Er

Pm3Dy4Er after structural relaxation (PBE-GGA, Alexandria).

Lattice parameters (Å, degrees): 11.4172 7.3020 6.3031 90.00 90.00 90.00
Atoms (fractional coordinates):
Pm 0.0000 0.1269 0.0000
Pm 0.2501 0.1257 0.3331
Pm 0.2499 0.8743 0.8331
Pm 0.5000 0.8731 0.5000
Pm 0.7499 0.1257 0.3331
Pm 0.7501 0.8743 0.8331
Dy 0.0000 0.3762 0.5011
Dy 0.0000 0.6222 0.9998
Dy 0.2480 0.6231 0.3332
Dy 0.2520 0.3769 0.8332
Dy 0.5000 0.3778 0.4998
Dy 0.5000 0.6238 0.0011
Dy 0.7480 0.3769 0.8332
Dy 0.7520 0.6231 0.3332
Er 0.0000 0.8716 0.4989
Er 0.5000 0.1284 0.9989

Results
**Total magnetization**: 0.00 μB per cell
**VASP energy**: -37.07 eV per formula unit

=====

No. 4
# PmDy5Er6

PmDy5Er6 after structural relaxation (PBE-GGA, Alexandria).

Lattice parameters (Å, degrees): 6.1154 6.1154 11.6912 94.99 94.99 119.95
Atoms (fractional coordinates):
Pm 0.0000 0.0000 0.0000
Dy 0.1669 0.8331 0.5000
Dy 0.3333 0.6667 0.0000
Dy 0.5000 0.5000 0.5000
Dy 0.6667 0.3333 0.0000
Dy 0.8331 0.1669 0.5000
Er 0.0834 0.4171 0.2510
Er 0.2505 0.2505 0.7491
Er 0.4171 0.0834 0.2510
Er 0.5829 0.9166 0.7490
Er 0.7495 0.7495 0.2509
Er 0.9166 0.5829 0.7490

Results
**Total magnetization**: 0.00 μB per cell
**VASP energy**: -54.91 eV per formula unit

=====

No. 5
# PmDy4Er

PmDy4Er after structural relaxation (PBE-GGA, Alexandria).

Lattice parameters (Å, degrees): 6.5671 6.5671 6.5671 60.00 60.00 60.00
Atoms (fractional coordinates):
Pm 0.0000 0.0000 0.0000
Dy 0.1256 0.6248 0.6248
Dy 0.6248 0.1256 0.6248
Dy 0.6248 0.6248 0.1256
Dy 0.6248 0.6248 0.6248
Er 0.2500 0.2500 0.2500

Results
**Excess energy over the best structure of this formula in the dataset**: 255 meV/atom
**Total magnetization**: 0.49 μB per cell
**VASP energy**: -26.09 eV per formula unit

=====

No. 6
# Pm16Dy7Er6

Pm16Dy7Er6 after structural relaxation (PBE-GGA, Alexandria).

Lattice parameters (Å, degrees): 11.2464 11.2464 11.2464 60.00 60.00 60.00
Atoms (fractional coordinates):
Pm 0.0515 0.6495 0.6495
Pm 0.1246 0.1246 0.1246
Pm 0.1246 0.1246 0.6261
Pm 0.1246 0.6261 0.1246
Pm 0.3505 0.3505 0.3505
Pm 0.3505 0.3505 0.9485
Pm 0.3505 0.9485 0.3505
Pm 0.3739 0.8754 0.8754
Pm 0.6261 0.1246 0.1246
Pm 0.6495 0.0515 0.6495
Pm 0.6495 0.6495 0.0515
Pm 0.6495 0.6495 0.6495
Pm 0.8754 0.3739 0.8754
Pm 0.8754 0.8754 0.3739
Pm 0.8754 0.8754 0.8754
Pm 0.9485 0.3505 0.3505
Dy 0.0000 0.0000 0.0000
Dy 0.0000 0.0000 0.5000
Dy 0.0000 0.5000 0.0000
Dy 0.0000 0.5000 0.5000
Dy 0.5000 0.0000 0.0000
Dy 0.5000 0.0000 0.5000
Dy 0.5000 0.5000 0.0000
Er 0.2658 0.2658 0.7342
Er 0.2658 0.7342 0.2658
Er 0.2658 0.7342 0.7342
Er 0.7342 0.2658 0.2658
Er 0.7342 0.2658 0.7342
Er 0.7342 0.7342 0.2658

Results
**Total magnetization**: 0.00 μB per cell
**VASP energy**: -129.33 eV per formula unit

=====

No. 7
# Pm8Dy2Er3

Pm8Dy2Er3 after structural relaxation (PBE-GGA, Alexandria).

Lattice parameters (Å, degrees): 6.2303 6.2472 11.3756 89.91 79.41 80.37
Atoms (fractional coordinates):
Pm 0.0389 0.0779 0.3471
Pm 0.1928 0.3847 0.7302
Pm 0.3448 0.6920 0.1151
Pm 0.4229 0.8468 0.8074
Pm 0.5771 0.1532 0.1926
Pm 0.6552 0.3080 0.8849
Pm 0.8072 0.6153 0.2698
Pm 0.9611 0.9221 0.6529
Dy 0.2708 0.5387 0.4238
Dy 0.7292 0.4613 0.5762
Er 0.1135 0.2311 0.0385
Er 0.5000 0.0000 0.5000
Er 0.8865 0.7689 0.9615

Results
**Excess energy over the best structure of this formula in the dataset**: 0 meV/atom
**Total magnetization**: 0.00 μB per cell
**VASP energy**: -60.67 eV per formula unit

=====

No. 8
# PmDy2Er3

PmDy2Er3 after structural relaxation (PBE-GGA, Alexandria).

Lattice parameters (Å, degrees): 9.3732 9.3732 6.1264 90.12 90.12 44.40
Atoms (fractional coordinates):
Pm 0.1253 0.8747 0.7500
Pm 0.8747 0.1253 0.2500
Dy 0.2080 0.4577 0.5825
Dy 0.4577 0.2080 0.0825
Dy 0.5423 0.7920 0.9175
Dy 0.7920 0.5423 0.4175
Er 0.0425 0.2930 0.9159
Er 0.2930 0.0425 0.4159
Er 0.3759 0.6241 0.2500
Er 0.6241 0.3759 0.7500
Er 0.7070 0.9575 0.5841
Er 0.9575 0.7070 0.0841

Results
**Excess energy over the best structure of this formula in the dataset**: 12 meV/atom
**Total magnetization**: 0.00 μB per cell
**VASP energy**: -27.52 eV per formula unit

=====

No. 9
# PmDy4Er8

PmDy4Er8 after structural relaxation (PBE-GGA, Alexandria).

Lattice parameters (Å, degrees): 9.8767 9.8767 9.8767 43.07 43.07 43.07
Atoms (fractional coordinates):
Pm 0.0000 0.0000 0.0000
Dy 0.0000 0.0000 0.5000
Dy 0.0000 0.5000 0.0000
Dy 0.5000 0.0000 0.0000
Dy 0.5000 0.5000 0.5000
Er 0.2503 0.2503 0.6930
Er 0.2503 0.6930 0.2503
Er 0.2818 0.2818 0.2818
Er 0.3070 0.7497 0.7497
Er 0.6930 0.2503 0.2503
Er 0.7182 0.7182 0.7182
Er 0.7497 0.3070 0.7497
Er 0.7497 0.7497 0.3070

Results
**Total magnetization**: 0.00 μB per cell
**VASP energy**: -56.96 eV per formula unit

=====

No. 10
# Pm5Dy12Er2

Pm5Dy12Er2 after structural relaxation (PBE-GGA, Alexandria).

Lattice parameters (Å, degrees): 6.2871 9.0528 10.9422 87.09 82.21 88.08
Atoms (fractional coordinates):
Pm 0.0000 0.0000 0.0000
Pm 0.1224 0.9859 0.3444
Pm 0.2761 0.5513 0.9418
Pm 0.7239 0.4487 0.0582
Pm 0.8776 0.0141 0.6556
Dy 0.0136 0.3421 0.7699
Dy 0.0741 0.6644 0.5483
Dy 0.1812 0.2951 0.1599
Dy 0.3542 0.8554 0.7495
Dy 0.3981 0.1749 0.5562
Dy 0.4952 0.8248 0.1127
Dy 0.5048 0.1752 0.8873
Dy 0.6019 0.8251 0.4438
Dy 0.6458 0.1446 0.2505
Dy 0.8188 0.7049 0.8401
Dy 0.9259 0.3356 0.4517
Dy 0.9864 0.6579 0.2301
Er 0.4554 0.4957 0.3454
Er 0.5446 0.5043 0.6546

Results
**Excess energy over the best structure of this formula in the dataset**: 0 meV/atom
**Total magnetization**: 0.00 μB per cell
**VASP energy**: -86.92 eV per formula unit

=====

No. 11
# Pm7Dy2Er4

Pm7Dy2Er4 after structural relaxation (PBE-GGA, Alexandria).

Lattice parameters (Å, degrees): 6.1508 6.1508 13.1462 90.00 90.00 120.00
Atoms (fractional coordinates):
Pm 0.0000 0.0000 0.0000
Pm 0.0000 0.3711 0.2225
Pm 0.0000 0.6289 0.7775
Pm 0.3711 0.0000 0.2225
Pm 0.3711 0.3711 0.7775
Pm 0.6289 0.0000 0.7775
Pm 0.6289 0.6289 0.2225
Dy 0.3333 0.6667 0.0000
Dy 0.6667 0.3333 0.0000
Er 0.0000 0.0000 0.3925
Er 0.0000 0.0000 0.6075
Er 0.3333 0.6667 0.5000
Er 0.6667 0.3333 0.5000

Results
**Total magnetization**: 0.00 μB per cell
**VASP energy**: -58.49 eV per formula unit

=====

No. 12
# Pm4Dy3Er

Pm4Dy3Er after structural relaxation (PBE-GGA, Alexandria).

Lattice parameters (Å, degrees): 11.8834 11.8834 6.7890 106.45 106.45 16.89
Atoms (fractional coordinates):
Pm 0.1236 0.1236 0.3682
Pm 0.2597 0.2597 0.7640
Pm 0.7403 0.7403 0.2360
Pm 0.8764 0.8764 0.6318
Dy 0.0000 0.0000 0.5000
Dy 0.1225 0.1225 0.8817
Dy 0.8775 0.8775 0.1183
Er 0.5000 0.5000 0.0000

Results
**Total magnetization**: 0.00 μB per cell
**VASP energy**: -36.05 eV per formula unit

=====

No. 13
# Pm2Dy3Er6

Pm2Dy3Er6 after structural relaxation (PBE-GGA, Alexandria).

Lattice parameters (Å, degrees): 16.8416 16.8416 16.8416 163.93 163.93 22.80
Atoms (fractional coordinates):
Pm 0.0461 0.0461 0.0000
Pm 0.9538 0.9538 0.0000
Dy 0.2985 0.2985 0.0000
Dy 0.5000 0.5000 0.0000
Dy 0.7015 0.7015 0.0000
Er 0.1221 0.6221 0.5000
Er 0.1952 0.1952 0.0000
Er 0.3779 0.8779 0.5000
Er 0.6221 0.1221 0.5000
Er 0.8048 0.8048 0.0000
Er 0.8779 0.3779 0.5000

Results
**Excess energy over the best structure of this formula in the dataset**: 86 meV/atom
**Total magnetization**: 0.00 μB per cell
**VASP energy**: -47.68 eV per formula unit

=====

No. 14
# PmDy6Er3

PmDy6Er3 after structural relaxation (PBE-GGA, Alexandria).

Lattice parameters (Å, degrees): 10.9252 10.9252 6.1693 90.00 90.00 119.68
Atoms (fractional coordinates):
Pm 0.2060 0.7940 0.5000
Pm 0.7940 0.2060 0.0000
Dy 0.0414 0.4614 0.2855
Dy 0.0464 0.9536 0.7353
Dy 0.2831 0.7169 0.0063
Dy 0.2894 0.3810 0.1164
Dy 0.3810 0.2894 0.6164
Dy 0.4614 0.0414 0.7855
Dy 0.5386 0.9586 0.2855
Dy 0.6190 0.7106 0.1164
Dy 0.7106 0.6190 0.6164
Dy 0.7169 0.2831 0.5063
Dy 0.9536 0.0464 0.2353
Dy 0.9586 0.5386 0.7855
Er 0.0632 0.2814 0.6922
Er 0.2814 0.0632 0.1922
Er 0.3895 0.6105 0.5766
Er 0.6105 0.3895 0.0766
Er 0.7186 0.9368 0.6922
Er 0.9368 0.7186 0.1922

Results
**Excess energy over the best structure of this formula in the dataset**: 0 meV/atom
**Total magnetization**: 0.00 μB per cell
**VASP energy**: -44.55 eV per formula unit

=====

No. 15
# PmDy12Er3

PmDy12Er3 after structural relaxation (PBE-GGA, Alexandria).

Lattice parameters (Å, degrees): 5.0095 5.0095 20.0210 90.00 90.00 90.00
Atoms (fractional coordinates):
Pm 0.0000 0.0000 0.0000
Dy 0.0000 0.5000 0.1267
Dy 0.0000 0.5000 0.3756
Dy 0.0000 0.5000 0.6244
Dy 0.0000 0.5000 0.8733
Dy 0.5000 0.0000 0.1267
Dy 0.5000 0.0000 0.3756
Dy 0.5000 0.0000 0.6244
Dy 0.5000 0.0000 0.8733
Dy 0.5000 0.5000 0.0000
Dy 0.5000 0.5000 0.2515
Dy 0.5000 0.5000 0.5000
Dy 0.5000 0.5000 0.7485
Er 0.0000 0.0000 0.2511
Er 0.0000 0.0000 0.5000
Er 0.0000 0.0000 0.7489

Results
**Total magnetization**: 0.00 μB per cell
**VASP energy**: -73.36 eV per formula unit

=====

No. 16
# PmDy15Er4

PmDy15Er4 after structural relaxation (PBE-GGA, Alexandria).

Lattice parameters (Å, degrees): 5.0058 5.0058 25.0308 90.00 90.00 90.00
Atoms (fractional coordinates):
Pm 0.0000 0.0000 0.0000
Dy 0.0000 0.5000 0.1015
Dy 0.0000 0.5000 0.3008
Dy 0.0000 0.5000 0.5000
Dy 0.0000 0.5000 0.6992
Dy 0.0000 0.5000 0.8985
Dy 0.5000 0.0000 0.1015
Dy 0.5000 0.0000 0.3008
Dy 0.5000 0.0000 0.5000
Dy 0.5000 0.0000 0.6992
Dy 0.5000 0.0000 0.8985
Dy 0.5000 0.5000 0.0000
Dy 0.5000 0.5000 0.2015
Dy 0.5000 0.5000 0.4005
Dy 0.5000 0.5000 0.5995
Dy 0.5000 0.5000 0.7985
Er 0.0000 0.0000 0.2011
Er 0.0000 0.0000 0.4005
Er 0.0000 0.0000 0.5995
Er 0.0000 0.0000 0.7989

Results
**Total magnetization**: 0.00 μB per cell
**VASP energy**: -91.65 eV per formula unit

=====

No. 17
# Pm2Dy3Er2

Pm2Dy3Er2 after structural relaxation (PBE-GGA, Alexandria).

Lattice parameters (Å, degrees): 6.1529 6.1529 10.7105 95.57 95.57 33.63
Atoms (fractional coordinates):
Pm 0.2148 0.2148 0.3554
Pm 0.7852 0.7852 0.6446
Dy 0.3574 0.3574 0.9298
Dy 0.5000 0.5000 0.5000
Dy 0.6426 0.6426 0.0702
Er 0.0707 0.0707 0.7879
Er 0.9293 0.9293 0.2121

Results
**Excess energy over the best structure of this formula in the dataset**: 0 meV/atom
**Total magnetization**: 0.00 μB per cell
**VASP energy**: -32.31 eV per formula unit

=====

No. 18
# Pm4Dy4Er5

Pm4Dy4Er5 after structural relaxation (PBE-GGA, Alexandria).

Lattice parameters (Å, degrees): 9.4278 9.4278 9.4278 94.07 94.07 149.09
Atoms (fractional coordinates):
Pm 0.0784 0.3828 0.4611
Pm 0.3828 0.9216 0.3044
Pm 0.6172 0.0784 0.6956
Pm 0.9216 0.6172 0.5389
Dy 0.1531 0.7708 0.9238
Dy 0.2292 0.1531 0.3823
Dy 0.7708 0.8469 0.6177
Dy 0.8469 0.2292 0.0762
Er 0.0000 0.0000 0.0000
Er 0.3103 0.5389 0.8493
Er 0.4611 0.3103 0.7714
Er 0.5389 0.6897 0.2286
Er 0.6897 0.4611 0.1507

Results
**Total magnetization**: 0.00 μB per cell
**VASP energy**: -59.98 eV per formula unit

=====

No. 19
# PmDy7Er5

PmDy7Er5 after structural relaxation (PBE-GGA, Alexandria).

Lattice parameters (Å, degrees): 8.6545 8.6545 8.6545 134.80 100.21 96.78
Atoms (fractional coordinates):
Pm 0.0000 0.0000 0.0000
Dy 0.2246 0.5539 0.6707
Dy 0.3036 0.3036 0.0000
Dy 0.3807 0.0529 0.3278
Dy 0.6102 0.6102 0.0000
Dy 0.7251 0.0529 0.6722
Dy 0.8010 0.3010 0.5000
Dy 0.8832 0.5539 0.3293
Er 0.0321 0.0369 0.4639
Er 0.0321 0.5682 0.9951
Er 0.3053 0.8053 0.5000
Er 0.5730 0.0369 0.0049
Er 0.5730 0.5682 0.5361

Results
**Total magnetization**: 0.00 μB per cell
**VASP energy**: -56.51 eV per formula unit